Record 1
DFT (PBE-GGA) results for crystalline HoLuTlOs at its relaxed geometry.

a b c (Å): 5.004 5.004 5.004
angles (deg): 60.00 60.00 60.00
Positions (direct):
Ho 0.000 0.000 0.000
Lu 0.500 0.500 0.500
Tl 0.250 0.250 0.250
Os 0.750 0.750 0.750

Calculated values
Formation energy ... -174 meV per atom
Total magnetic moment ... 0.0 μB/cell
Calculated density ... 13.77 Mg/m³

***

Record 2
DFT (PBE-GGA) results for crystalline HoTmLuOs at its relaxed geometry.

a b c (Å): 5.057 5.057 5.057
angles (deg): 60.00 60.00 60.00
Positions (direct):
Ho 0.000 0.000 0.000
Tm 0.500 0.500 0.500
Lu 0.750 0.750 0.750
Os 0.250 0.250 0.250

Calculated values
Formation energy ... 54 meV per atom
Total magnetic moment ... 0.0 μB/cell
Calculated density ... 12.70 Mg/m³

***

Record 3
DFT (PBE-GGA) results for crystalline HoLuZnOs at its relaxed geometry.

a b c (Å): 4.845 4.845 4.845
angles (deg): 60.00 60.00 60.00
Positions (direct):
Ho 0.000 0.000 0.000
Lu 0.500 0.500 0.500
Zn 0.750 0.750 0.750
Os 0.250 0.250 0.250

Calculated values
Formation energy ... -329 meV per atom
Total magnetic moment ... 0.0 μB/cell
Calculated density ... 12.30 Mg/m³

***

Record 4
DFT (PBE-GGA) results for crystalline HoLuPa at its relaxed geometry.

a b c (Å): 7.830 7.830 7.830
angles (deg): 155.11 155.11 35.48
Positions (direct):
Ho 0.000 0.000 0.000
Lu 0.682 0.682 0.000
Pa 0.340 0.340 0.000

Calculated values
Formation energy ... 138 meV per atom
Total magnetic moment ... 0.0 μB/cell
Calculated density ... 11.17 Mg/m³
Energy relative to the lowest polymorph listed for this composition ... 0.038 eV/atom

***

Record 5
DFT (PBE-GGA) results for crystalline HoLuPa at its relaxed geometry.

a b c (Å): 3.394 3.394 8.422
angles (deg): 90.00 90.00 120.00
Positions (direct):
Ho 0.000 0.000 0.000
Lu 0.333 0.667 0.644
Pa 0.667 0.333 0.324

Calculated values
Formation energy ... 100 meV per atom
Total magnetic moment ... 0.0 μB/cell
Calculated density ... 11.29 Mg/m³
Energy relative to the lowest polymorph listed for this composition ... 0.000 eV/atom

***

Record 6
DFT (PBE-GGA) results for crystalline PmHoLuPa at its relaxed geometry.

a b c (Å): 5.562 5.562 5.562
angles (deg): 60.00 60.00 60.00
Positions (direct):
Pm 0.000 0.000 0.000
Ho 0.500 0.500 0.500
Lu 0.750 0.750 0.750
Pa 0.250 0.250 0.250

Calculated values
Formation energy ... 370 meV per atom
Total magnetic moment ... 3.5 μB/cell
Calculated density ... 9.77 Mg/m³

***

Record 7
DFT (PBE-GGA) results for crystalline HoLuPuPa at its relaxed geometry.

a b c (Å): 5.384 5.384 5.384
angles (deg): 60.00 60.00 60.00
Positions (direct):
Ho 0.000 0.000 0.000
Lu 0.750 0.750 0.750
Pu 0.500 0.500 0.500
Pa 0.250 0.250 0.250

Calculated values
Formation energy ... 281 meV per atom
Total magnetic moment ... 8.8 μB/cell
Calculated density ... 12.26 Mg/m³

***

Record 8
DFT (PBE-GGA) results for crystalline HoLuScPa at its relaxed geometry.

a b c (Å): 5.383 5.383 5.383
angles (deg): 60.00 60.00 60.00
Positions (direct):
Ho 0.000 0.000 0.000
Lu 0.250 0.250 0.250
Sc 0.500 0.500 0.500
Pa 0.750 0.750 0.750

Calculated values
Formation energy ... 283 meV per atom
Total magnetic moment ... 0.0 μB/cell
Calculated density ... 9.27 Mg/m³

***

Record 9
DFT (PBE-GGA) results for crystalline SmHoLuPa at its relaxed geometry.

a b c (Å): 5.554 5.554 5.554
angles (deg): 60.00 60.00 60.00
Positions (direct):
Sm 0.000 0.000 0.000
Ho 0.500 0.500 0.500
Lu 0.250 0.250 0.250
Pa 0.750 0.750 0.750

Calculated values
Formation energy ... 366 meV per atom
Total magnetic moment ... 3.5 μB/cell
Calculated density ... 9.89 Mg/m³

***

Record 10
DFT (PBE-GGA) results for crystalline HoTmLuPa at its relaxed geometry.

a b c (Å): 5.488 5.488 5.488
angles (deg): 60.00 60.00 60.00
Positions (direct):
Ho 0.000 0.000 0.000
Tm 0.500 0.500 0.500
Lu 0.250 0.250 0.250
Pa 0.750 0.750 0.750

Calculated values
Formation energy ... 329 meV per atom
Total magnetic moment ... 1.0 μB/cell
Calculated density ... 10.51 Mg/m³

***

Record 11
DFT (PBE-GGA) results for crystalline HoLuZrPa at its relaxed geometry.

a b c (Å): 5.330 5.330 5.330
angles (deg): 60.00 60.00 60.00
Positions (direct):
Ho 0.000 0.000 0.000
Lu 0.750 0.750 0.750
Zr 0.500 0.500 0.500
Pa 0.250 0.250 0.250

Calculated values
Formation energy ... 291 meV per atom
Total magnetic moment ... 0.1 μB/cell
Calculated density ... 10.27 Mg/m³

***

Record 12
DFT (PBE-GGA) results for crystalline HoLuPb2 at its relaxed geometry.

a b c (Å): 3.522 3.522 8.858
angles (deg): 90.00 90.00 90.00
Positions (direct):
Ho 0.000 0.000 0.000
Lu 0.000 0.000 0.500
Pb 0.500 0.500 0.253
Pb 0.500 0.500 0.747

Calculated values
Formation energy ... -370 meV per atom
Total magnetic moment ... 0.0 μB/cell
Calculated density ... 11.40 Mg/m³